Material: Nb3TcC
Method: DFT, PBE
State: optimized geometry

```
5
Lattice="4.773 0.000 0.000 0.000 4.773 0.000 0.000 0.000 4.773" Properties=species:S:1:pos:R:3 pbc="T T T"
Nb 0.000 0.000 2.387
Nb 0.000 2.387 0.000
Nb 2.387 0.000 0.000
Tc 0.000 0.000 0.000
C 2.387 2.387 2.387
```

energy relative to the elements: 2.24 eV/atom
space group: No. 221
density of states at the Fermi level: 3.80 states/eV per cell

=====

Material: NbTc2C
Method: DFT, PBE
State: optimized geometry

```
8
Lattice="-3.481 3.481 2.310 3.481 -3.481 2.310 3.481 3.481 -2.310" Properties=species:S:1:pos:R:3 pbc="T T T"
Nb 0.000 0.000 0.000
Nb 0.000 3.481 1.155
Tc 1.741 -0.949 1.733
Tc 2.533 1.741 0.578
Tc 1.741 4.430 -0.578
Tc 0.949 1.741 2.888
C 3.481 0.000 1.155
C 0.000 0.000 2.310
```

energy relative to the elements: 0.11 eV/atom
space group: No. 122
density of states at the Fermi level: 8.33 states/eV per cell

=====

Material: NbTcC2
Method: DFT, PBE
State: optimized geometry

```
8
Lattice="-2.342 2.342 4.835 2.342 -2.342 4.835 2.342 2.342 -4.835" Properties=species:S:1:pos:R:3 pbc="T T T"
Nb 0.000 0.000 0.000
Nb 0.000 2.342 2.418
Tc 2.342 0.000 2.418
Tc 0.000 0.000 4.835
C 1.171 -1.063 3.626
C 1.279 1.171 1.209
C 1.171 3.406 -1.209
C 1.063 1.171 6.044
```

energy relative to the elements: 0.34 eV/atom
space group: No. 122
density of states at the Fermi level: 6.91 states/eV per cell

=====

Material: UNbTcC3
Method: DFT, PBE
State: optimized geometry

```
12
Lattice="6.908 0.000 0.000 0.000 3.093 0.000 -0.897 0.000 7.770" Properties=species:S:1:pos:R:3 pbc="T T T"
U 0.915 0.773 1.409
U 5.096 2.320 6.361
Nb 1.723 2.320 6.738
Nb 4.289 0.773 1.032
Tc 0.389 0.773 4.620
Tc 5.622 2.320 3.150
C 0.096 0.773 6.756
C 0.811 2.320 3.352
C 2.692 2.320 1.119
C 3.319 0.773 6.651
C 5.200 0.773 4.418
C 5.916 2.320 1.015
```

energy relative to the elements: -0.05 eV/atom
space group: No. 11
density of states at the Fermi level: 8.09 states/eV per cell

=====

Material: Nb2VTcC
Method: DFT, PBE
State: optimized geometry

```
5
Lattice="4.719 0.000 0.000 0.000 4.719 0.000 0.000 0.000 3.739" Properties=species:S:1:pos:R:3 pbc="T T T"
Nb 0.000 2.360 0.000
Nb 2.360 0.000 0.000
V 0.000 0.000 0.000
Tc 2.360 2.360 1.870
C 0.000 0.000 1.870
```

energy relative to the elements: 1.39 eV/atom
space group: No. 123
density of states at the Fermi level: 5.46 states/eV per cell

=====

Material: YNb2TcC
Method: DFT, PBE
State: optimized geometry

```
5
Lattice="5.017 0.000 0.000 0.000 5.017 0.000 0.000 0.000 3.998" Properties=species:S:1:pos:R:3 pbc="T T T"
Y 0.000 0.000 0.000
Nb 0.000 2.509 1.999
Nb 2.509 0.000 1.999
Tc 2.509 2.509 1.999
C 2.509 2.509 0.000
```

energy relative to the elements: 1.09 eV/atom
space group: No. 123
density of states at the Fermi level: 6.07 states/eV per cell

=====

Material: NbZn2TcC
Method: DFT, PBE
State: optimized geometry

```
5
Lattice="5.083 0.000 0.000 0.000 5.083 0.000 0.000 0.000 4.556" Properties=species:S:1:pos:R:3 pbc="T T T"
Nb 0.000 0.000 0.000
Zn 0.000 2.541 0.000
Zn 2.541 0.000 0.000
Tc 0.000 0.000 2.278
C 2.541 2.541 2.278
```

energy relative to the elements: 2.53 eV/atom
space group: No. 123
density of states at the Fermi level: 4.77 states/eV per cell

=====

Material: NbTe2C
Method: DFT, PBE
State: optimized geometry

```
4
Lattice="1.668 0.963 8.505 -1.668 0.963 8.505 0.000 -1.926 8.505" Properties=species:S:1:pos:R:3 pbc="T T T"
Nb 0.000 0.000 0.000
Te 0.000 0.000 2.718
Te 0.000 0.000 22.798
C 0.000 0.000 12.758
```

space group: No. 166
density of states at the Fermi level: 3.45 states/eV per cell
energy relative to the elements, uncorrected: 1415 meV per atom

=====

Material: NbTe2C
Method: DFT, PBE
State: optimized geometry

```
8
Lattice="-3.024 3.024 5.011 3.024 -3.024 5.011 3.024 3.024 -5.011" Properties=species:S:1:pos:R:3 pbc="T T T"
Nb 0.000 0.000 0.000
Nb 0.000 3.024 2.506
Te 1.512 -1.160 3.759
Te 1.864 1.512 1.253
Te 1.512 4.184 -1.253
Te 1.160 1.512 6.264
C 3.024 0.000 2.506
C 0.000 0.000 5.011
```

space group: No. 122
density of states at the Fermi level: 5.75 states/eV per cell
energy relative to the elements, uncorrected: 1118 meV per atom

=====

Material: NbTeC2
Method: DFT, PBE
State: optimized geometry

```
8
Lattice="-2.598 2.598 4.971 2.598 -2.598 4.971 2.598 2.598 -4.971" Properties=species:S:1:pos:R:3 pbc="T T T"
Nb 0.000 0.000 0.000
Nb 0.000 2.598 2.486
Te 2.598 0.000 2.486
Te 0.000 0.000 4.971
C 3.897 1.084 -1.243
C 1.084 1.299 1.243
C -1.299 1.514 3.728
C 1.514 1.299 6.214
```

space group: No. 122
density of states at the Fermi level: 5.79 states/eV per cell
energy relative to the elements, uncorrected: 1072 meV per atom

=====

Material: NbTeC
Method: DFT, PBE
State: optimized geometry

```
6
Lattice="7.599 -1.697 0.000 7.599 1.697 0.000 -2.251 0.000 5.434" Properties=species:S:1:pos:R:3 pbc="T T T"
Nb 3.164 0.000 1.054
Nb 9.782 0.000 4.380
Te 4.556 0.000 3.667
Te 8.390 0.000 1.767
C 1.020 0.000 4.442
C 11.926 0.000 0.992
```

space group: No. 12
density of states at the Fermi level: 1.92 states/eV per cell
energy relative to the elements, uncorrected: 268 meV per atom

=====

Material: NbTe3C
Method: DFT, PBE
State: optimized geometry

```
5
Lattice="4.719 0.000 0.000 0.000 4.719 0.000 0.000 0.000 4.719" Properties=species:S:1:pos:R:3 pbc="T T T"
Nb 0.000 0.000 0.000
Te 0.000 2.360 2.360
Te 2.360 0.000 2.360
Te 2.360 2.360 0.000
C 2.360 2.360 2.360
```

space group: No. 221
density of states at the Fermi level: 1.84 states/eV per cell
energy relative to the elements, uncorrected: 1058 meV per atom

=====

Material: NbTe3C
Method: DFT, PBE
State: optimized geometry

```
5
Lattice="5.391 0.000 0.000 0.000 5.391 0.000 0.000 0.000 5.391" Properties=species:S:1:pos:R:3 pbc="T T T"
Nb 0.000 0.000 0.000
Te 0.000 0.000 2.696
Te 0.000 2.696 0.000
Te 2.696 0.000 0.000
C 2.696 2.696 2.696
```

space group: No. 221
density of states at the Fermi level: 4.39 states/eV per cell
energy relative to the elements, uncorrected: 1473 meV per atom

=====

Material: NbTe2C
Method: DFT, PBE
State: optimized geometry

```
4
Lattice="1.860 1.074 7.583 -1.860 1.074 7.583 0.000 -2.148 7.583" Properties=species:S:1:pos:R:3 pbc="T T T"
Nb 0.000 0.000 0.000
Te 0.000 0.000 9.409
Te 0.000 0.000 13.340
C 0.000 0.000 11.375
```

space group: No. 166
density of states at the Fermi level: 3.79 states/eV per cell
energy relative to the elements, uncorrected: 1105 meV per atom

=====

Material: Nb4Te5C
Method: DFT, PBE
State: optimized geometry

```
10
Lattice="8.423 -1.782 0.000 8.423 1.782 0.000 -1.774 0.000 7.613" Properties=species:S:1:pos:R:3 pbc="T T T"
Nb -0.504 0.000 2.421
Nb 5.460 0.000 3.285
Nb 9.613 0.000 4.328
Nb 15.577 0.000 5.192
Te 1.185 0.000 6.479
Te 2.344 0.000 2.475
Te 8.423 0.000 0.000
Te 12.729 0.000 5.138
Te 13.888 0.000 1.133
C 7.537 0.000 3.806
```

space group: No. 12
density of states at the Fermi level: 3.24 states/eV per cell
energy relative to the elements, uncorrected: -461 meV per atom

=====

Material: Nb3Te3C
Method: DFT, PBE
State: optimized geometry

```
14
Lattice="7.848 0.000 0.000 0.000 3.499 0.000 -0.429 0.000 10.736" Properties=species:S:1:pos:R:3 pbc="T T T"
Nb 0.468 0.875 4.333
Nb 0.594 0.875 8.690
Nb 1.989 2.624 6.641
Nb 5.431 0.875 4.095
Nb 6.825 2.624 2.046
Nb 6.952 2.624 6.403
Te 1.028 0.875 1.308
Te 2.647 2.624 9.348
Te 2.885 2.624 3.987
Te 4.534 0.875 6.749
Te 4.772 0.875 1.388
Te 6.392 2.624 9.428
C 0.555 0.875 6.510
C 6.864 2.624 4.226
```

space group: No. 11
density of states at the Fermi level: 5.85 states/eV per cell
energy relative to the elements, uncorrected: -459 meV per atom

=====

Material: NbVTe2C
Method: DFT, PBE
State: optimized geometry

```
5
Lattice="5.307 0.000 0.000 0.000 5.307 0.000 0.000 0.000 3.727" Properties=species:S:1:pos:R:3 pbc="T T T"
Nb 0.000 0.000 0.000
V 2.653 2.653 1.864
Te 0.000 2.653 1.864
Te 2.653 0.000 1.864
C 2.653 2.653 0.000
```

space group: No. 123
density of states at the Fermi level: 6.20 states/eV per cell
energy relative to the elements, uncorrected: 885 meV per atom

=====

Material: Th4NbC4
Method: DFT, PBE
State: optimized geometry

```
9
Lattice="6.047 -1.789 0.000 6.047 1.789 0.000 -4.556 0.000 7.756" Properties=species:S:1:pos:R:3 pbc="T T T"
Th -0.511 0.000 2.977
Th 2.716 0.000 1.454
Th 4.822 0.000 6.302
Th 8.049 0.000 4.779
Nb 6.047 0.000 0.000
C -3.087 0.000 7.094
C 0.515 0.000 5.603
C 7.023 0.000 2.153
C 10.625 0.000 0.662
```

energy relative to the elements: -0.26 eV/atom
space group: No. 12
density of states at the Fermi level: 4.55 states/eV per cell

=====

Material: ThNbC2
Method: DFT, PBE
State: optimized geometry

```
4
Lattice="1.696 0.979 5.862 -1.696 0.979 5.862 0.000 -1.959 5.862" Properties=species:S:1:pos:R:3 pbc="T T T"
Th 0.000 0.000 0.000
Nb 0.000 0.000 8.793
C 0.000 0.000 4.164
C 0.000 0.000 13.422
```

energy relative to the elements: -0.31 eV/atom
space group: No. 166
density of states at the Fermi level: 1.25 states/eV per cell

=====

Material: Th2Nb2C3
Method: DFT, PBE
State: optimized geometry

```
7
Lattice="6.181 -1.747 0.000 6.181 1.747 0.000 -2.217 0.000 5.569" Properties=species:S:1:pos:R:3 pbc="T T T"
Th 0.635 0.000 1.822
Th 9.510 0.000 3.747
Nb 3.908 0.000 0.924
Nb 6.237 0.000 4.645
C 1.366 0.000 4.272
C 5.073 0.000 2.785
C 8.779 0.000 1.297
```

energy relative to the elements: -0.40 eV/atom
space group: No. 12
density of states at the Fermi level: 4.46 states/eV per cell

=====

So what do the calculations give for DFT total energy? Going down the list: -7.72, -9.90, -9.38, -9.95, -8.38, -8.15, -3.91, -4.98, -5.28, -6.84, -7.21, -4.69, -4.27, -5.29, -6.98, -7.44, -6.05, -8.78, -9.29, -9.35 eV/atom.